[1]
Density functional theory data (GGA-PBE) for crystalline VHgMoRu2 at its relaxed geometry.

Results
crystal system = tetragonal
energy relative to the elements = 2.707 eV per atom
SG = P4/mmm (123)

abc: 4.8428 4.8910 4.8428
angles: 90.00 90.00 90.00
Last column: nearest neighbours and their distance in Å.
Positions (direct):
1 Ru 0.0000 0.0000 0.5000  2 Hg 2.42
2 Ru 0.5000 0.0000 0.0000  2 Hg 2.42
3 Mo 0.0000 0.5000 0.0000  2 Hg 2.45
4 Hg 0.0000 0.0000 0.0000  4 Ru 2.42, 2 Mo 2.45
5 V 0.5000 0.5000 0.5000  4 Mo 3.42, 8 Ru 3.44

[2]
Density functional theory data (GGA-PBE) for crystalline HgMoS4 at its relaxed geometry.

Results
crystal system = triclinic
formation energy from raw total energies = -0.31 eV per atom
SG = P1 (1)

abc: 6.1591 8.6487 8.3587
angles: 110.91 107.72 113.62
Last column: nearest neighbours and their distance in Å.
Positions (direct):
1 Hg 0.4663 0.4963 0.5179  2 S 2.47
2 Hg 0.8731 0.5793 0.2432  6 S 3.15-3.52
3 Mo 0.7503 0.9916 0.0244  8 S 2.40-2.55, 1 Mo 2.65
4 Mo 0.1806 0.9908 0.0236  8 S 2.41-2.55, 1 Mo 2.65
5 S 0.1940 0.3056 0.1468  1 Hg 2.47, 2 Mo 2.50, 1 S 2.72
6 S 0.0897 0.0171 0.2891  2 Mo 2.40-2.41
7 S 0.2520 0.8130 0.7494  1 S 2.04
8 S 0.6798 0.1706 0.2992  1 S 2.03
9 S 0.7292 0.6736 0.8879  1 Hg 2.47, 2 Mo 2.50-2.51
10 S 0.4827 0.1198 0.8907  1 S 2.04
11 S 0.4531 0.8661 0.1644  1 S 2.03
12 S 0.8490 0.9762 0.7634  2 Mo 2.41

[3]
Density functional theory data (GGA-PBE) for crystalline HgMo2S at its relaxed geometry.

Results
crystal system = cubic
distance to the lowest polymorph of the same formula = 0.0 meV per atom
formation energy from raw total energies = 0.64 eV per atom
SG = Fm-3m (225)

abc: 4.4992 4.4992 4.4992
angles: 60.00 60.00 60.00
Last column: nearest neighbours and their distance in Å.
Positions (direct):
1 S 0.0000 0.0000 0.0000  8 Mo 2.76
2 Mo 0.2500 0.2500 0.2500  4 Hg 2.76, 4 S 2.76
3 Mo 0.7500 0.7500 0.7500  4 S 2.76, 4 Hg 2.76
4 Hg 0.5000 0.5000 0.5000  8 Mo 2.76

[4]
Density functional theory data (GGA-PBE) for crystalline HgMoS2 at its relaxed geometry.

Results
crystal system = trigonal
formation energy from raw total energies = -0.63 eV per atom
SG = R3m (160)

abc: 3.2120 3.2120 10.2162
angles: 80.96 80.96 60.00
Last column: nearest neighbours and their distance in Å.
Positions (direct):
1 Hg 0.0208 0.0208 0.9376  6 Hg 3.21, 1 S 3.57
2 Mo 0.8575 0.8575 0.4275  6 S 2.42
3 S 0.1392 0.1392 0.5824  3 Mo 2.42
4 S 0.2425 0.2425 0.2724  3 Mo 2.42

[5]
Density functional theory data (GGA-PBE) for crystalline HgMo2S at its relaxed geometry.

Results
crystal system = tetragonal
distance to the lowest polymorph of the same formula = 42.0 meV per atom
formation energy from raw total energies = 0.68 eV per atom
SG = I-42d (122)

abc: 4.2337 4.2337 9.2408
angles: 76.76 76.76 90.00
Last column: nearest neighbours and their distance in Å.
Positions (direct):
1 S 0.5000 0.5000 0.0000  4 Mo 2.52
2 S 0.2500 0.7500 0.5000  4 Mo 2.52
3 Mo 0.5346 0.1250 0.2500  2 Mo 2.51, 2 S 2.52
4 Mo 0.2154 0.6250 0.2500  2 Mo 2.51, 2 S 2.52
5 Mo 0.3750 0.4654 0.7500  2 Mo 2.51, 2 S 2.52
6 Mo 0.8750 0.7846 0.7500  2 Mo 2.51, 2 S 2.52
7 Hg 0.0000 0.0000 0.0000  4 Mo 2.82, 4 S 2.99
8 Hg 0.7500 0.2500 0.5000  4 Mo 2.82, 4 S 2.99

[6]
Density functional theory data (GGA-PBE) for crystalline HgMoS2 at its relaxed geometry.

Results
crystal system = trigonal
formation energy from raw total energies = -0.44 eV per atom
SG = R-3m (166)

abc: 10.0624 10.0624 10.0624
angles: 18.33 18.33 18.33
Last column: nearest neighbours and their distance in Å.
Positions (direct):
1 S 0.8867 0.8867 0.8867  3 Mo 2.44
2 S 0.1133 0.1133 0.1133  3 Mo 2.44
3 Mo 0.5000 0.5000 0.5000  6 S 2.44
4 Hg 0.0000 0.0000 0.0000  6 Hg 3.21, 2 S 3.36

[7]
Density functional theory data (GGA-PBE) for crystalline HgMoS2 at its relaxed geometry.

Results
crystal system = tetragonal
formation energy from raw total energies = -0.12 eV per atom
SG = I-42d (122)

abc: 7.1998 7.1998 7.2238
angles: 60.11 60.11 90.00
Last column: nearest neighbours and their distance in Å.
Positions (direct):
1 S 0.4165 0.1250 0.2500  2 Mo 2.23
2 S 0.3335 0.6250 0.2500  2 Mo 2.23
3 S 0.3750 0.5835 0.7500  2 Mo 2.23
4 S 0.8750 0.6665 0.7500  2 Mo 2.23
5 Mo 0.5000 0.5000 0.0000  4 S 2.23
6 Mo 0.2500 0.7500 0.5000  4 S 2.23
7 Hg 0.0000 0.0000 0.0000  8 S 3.97-4.25, 4 Mo 4.42, 4 Hg 4.42
8 Hg 0.7500 0.2500 0.5000  8 S 3.97-4.25, 4 Mo 4.42, 4 Hg 4.42

[8]
Density functional theory data (GGA-PBE) for crystalline HgMo3S at its relaxed geometry.

Results
crystal system = cubic
distance to the lowest polymorph of the same formula = 2315.3 meV per atom
formation energy from raw total energies = 2.82 eV per atom
SG = Pm-3m (221)

abc: 4.9658 4.9658 4.9658
angles: 90.00 90.00 90.00
Last column: nearest neighbours and their distance in Å.
Positions (direct):
1 S 0.5000 0.5000 0.5000  12 Mo 3.51
2 Mo 0.0000 0.5000 0.0000  2 Hg 2.48
3 Mo 0.0000 0.0000 0.5000  2 Hg 2.48
4 Mo 0.5000 0.0000 0.0000  2 Hg 2.48
5 Hg 0.0000 0.0000 0.0000  6 Mo 2.48

[9]
Density functional theory data (GGA-PBE) for crystalline HgMoS2 at its relaxed geometry.

Results
crystal system = trigonal
formation energy from raw total energies = 0.58 eV per atom
SG = R-3m (166)

abc: 8.3357 8.3357 8.3357
angles: 24.37 24.37 24.37
Last column: nearest neighbours and their distance in Å.
Positions (direct):
1 S 0.9078 0.9078 0.9078  1 Mo 2.24
2 S 0.0922 0.0922 0.0922  1 Mo 2.24
3 Mo 0.0000 0.0000 0.0000  2 S 2.24
4 Hg 0.5000 0.5000 0.5000  6 S 2.72

[10]
Density functional theory data (GGA-PBE) for crystalline HgMo3S at its relaxed geometry.

Results
crystal system = cubic
distance to the lowest polymorph of the same formula = 0.0 meV per atom
formation energy from raw total energies = 0.50 eV per atom
SG = Pm-3m (221)

abc: 4.4566 4.4566 4.4566
angles: 90.00 90.00 90.00
Last column: nearest neighbours and their distance in Å.
Positions (direct):
1 S 0.0000 0.0000 0.0000  6 Mo 2.23
2 Mo 0.0000 0.5000 0.0000  2 S 2.23
3 Mo 0.0000 0.0000 0.5000  2 S 2.23
4 Mo 0.5000 0.0000 0.0000  2 S 2.23
5 Hg 0.5000 0.5000 0.5000  12 Mo 3.15

[11]
Density functional theory data (GGA-PBE) for crystalline HgMo6Se4S4 at its relaxed geometry.

Results
crystal system = triclinic
formation energy from raw total energies = -0.52 eV per atom
SG = P1 (1)

abc: 6.6841 6.7335 6.7524
angles: 91.41 91.73 92.56
Last column: nearest neighbours and their distance in Å.
Positions (direct):
1 Hg 0.9936 0.0448 0.9637  2 Se 2.57-2.58
2 Mo 0.5613 0.2285 0.4175  3 S 2.43-2.48, 2 Se 2.53-2.65, 1 Mo 2.71
3 Mo 0.4141 0.5479 0.2375  2 S 2.44-2.48, 3 Se 2.55-2.66, 1 Mo 2.71
4 Mo 0.2221 0.4049 0.5617  3 S 2.46-2.53, 2 Se 2.51-2.56, 1 Mo 2.74
5 Mo 0.4452 0.7696 0.5878  2 S 2.43-2.59, 3 Se 2.51-2.65
6 Mo 0.5841 0.4389 0.7730  3 S 2.45-2.62, 2 Se 2.54-2.65
7 Mo 0.7816 0.5858 0.4437  3 S 2.47-2.52, 2 Se 2.52-2.55, 1 Mo 2.76
8 Se 0.6298 0.8739 0.2615  4 Mo 2.55-2.65
9 Se 0.2584 0.6179 0.8807  4 Mo 2.56-2.66
10 Se 0.2223 0.2126 0.2377  3 Mo 2.51-2.55, 1 Hg 2.57
11 Se 0.7778 0.7723 0.7708  3 Mo 2.51-2.54, 1 Hg 2.58
12 S 0.1363 0.7115 0.3904  4 Mo 2.43-2.52
13 S 0.3846 0.1256 0.7192  4 Mo 2.46-2.59
14 S 0.7223 0.3861 0.1345  4 Mo 2.46-2.62
15 S 0.8663 0.2797 0.6204  4 Mo 2.43-2.53

[12]
Density functional theory data (GGA-PBE) for crystalline Hg2MoSeS at its relaxed geometry.

Results
crystal system = tetragonal
formation energy from raw total energies = 1.16 eV per atom
SG = P4/mmm (123)

abc: 5.2814 5.0575 5.2814
angles: 90.00 90.00 90.00
Last column: nearest neighbours and their distance in Å.
Positions (direct):
1 S 0.0000 0.5000 0.0000  2 Se 2.53
2 Mo 0.5000 0.5000 0.5000  8 Hg 3.66, 4 S 3.73
3 Hg 0.0000 0.0000 0.5000  2 Se 2.64
4 Hg 0.5000 0.0000 0.0000  2 Se 2.64
5 Se 0.0000 0.0000 0.0000  2 S 2.53, 4 Hg 2.64

[13]
Density functional theory data (GGA-PBE) for crystalline TcHgMoS2 at its relaxed geometry.

Results
crystal system = tetragonal
formation energy from raw total energies = 0.76 eV per atom
SG = P4/mmm (123)

abc: 4.5202 5.0517 4.5202
angles: 90.00 90.00 90.00
Last column: nearest neighbours and their distance in Å.
Positions (direct):
1 S 0.0000 0.0000 0.5000  2 Tc 2.26
2 S 0.5000 0.0000 0.0000  2 Tc 2.26
3 Mo 0.0000 0.5000 0.0000  2 Tc 2.53
4 Hg 0.5000 0.5000 0.5000  4 Mo 3.20, 8 S 3.39
5 Tc 0.0000 0.0000 0.0000  4 S 2.26, 2 Mo 2.53

[14]
Density functional theory data (GGA-PBE) for crystalline TlHgMoS2 at its relaxed geometry.

Results
crystal system = tetragonal
formation energy from raw total energies = 1.28 eV per atom
SG = P4/mmm (123)

abc: 5.1109 5.7045 5.1109
angles: 90.00 90.00 90.00
Last column: nearest neighbours and their distance in Å.
Positions (direct):
1 Mo 0.0000 0.5000 0.0000  2 Tl 2.85
2 Tl 0.0000 0.0000 0.0000  4 S 2.56, 2 Mo 2.85
3 S 0.0000 0.0000 0.5000  2 Tl 2.56
4 S 0.5000 0.0000 0.0000  2 Tl 2.56
5 Hg 0.5000 0.5000 0.5000  4 Mo 3.61, 8 S 3.83

[15]
Density functional theory data (GGA-PBE) for crystalline VHg2MoS at its relaxed geometry.

Results
crystal system = tetragonal
formation energy from raw total energies = 1.17 eV per atom
SG = P4/mmm (123)

abc: 5.1745 4.4789 5.1745
angles: 90.00 90.00 90.00
Last column: nearest neighbours and their distance in Å.
Positions (direct):
1 S 0.5000 0.5000 0.5000  8 Hg 3.42, 4 Mo 3.66
2 Mo 0.0000 0.5000 0.0000  2 V 2.24
3 Hg 0.0000 0.0000 0.5000  2 V 2.59
4 Hg 0.5000 0.0000 0.0000  2 V 2.59
5 V 0.0000 0.0000 0.0000  2 Mo 2.24